No. 1
LiYThGe | GGA-PBE | relaxed

a = 5.123 Å, b = 5.123 Å, c = 5.123 Å
α = 60.00°, β = 60.00°, γ = 60.00°
Element x y z (fractional)
Li 0.000 0.000 0.000
Y 0.250 0.250 0.250
Th 0.750 0.750 0.750
Ge 0.500 0.500 0.500

Summary:
The formation energy is -0.284 eV per atom. Its crystal system is cubic.

=====

No. 2
Tb2PuNpSb4 | GGA-PBE | relaxed

a = 7.633 Å, b = 4.405 Å, c = 7.633 Å
α = 90.00°, β = 109.42°, γ = 90.00°
Element x y z (fractional)
Tb 0.000 0.000 0.000
Tb 0.000 0.500 0.500
Pu 0.500 0.000 0.500
Np 0.500 0.500 0.000
Sb 0.251 0.000 0.751
Sb 0.251 0.500 0.249
Sb 0.749 0.000 0.249
Sb 0.749 0.500 0.751

Summary:
Its crystal system is monoclinic. Its raw formation energy is -6.2 eV per formula unit.

=====

No. 3
NbCu2NiB | GGA-PBE | relaxed

a = 3.946 Å, b = 3.946 Å, c = 3.928 Å
α = 90.00°, β = 90.00°, γ = 90.00°
Element x y z (fractional)
Nb 0.000 0.000 0.000
Cu 0.000 0.500 0.500
Cu 0.500 0.000 0.500
Ni 0.500 0.500 0.000
B 0.500 0.500 0.500

Summary:
The formation energy is 0.215 eV per atom. Its crystal system is tetragonal.

=====

No. 4
Sr3HPb2 | GGA-PBE | relaxed

a = 13.173 Å, b = 13.173 Å, c = 7.409 Å
α = 90.00°, β = 90.00°, γ = 162.94°
Element x y z (fractional)
Sr 0.090 0.910 0.505
Sr 0.090 0.910 0.995
Sr 0.289 0.711 0.750
Sr 0.711 0.289 0.250
Sr 0.910 0.090 0.005
Sr 0.910 0.090 0.495
H 0.151 0.849 0.250
H 0.849 0.151 0.750
Pb 0.321 0.679 0.250
Pb 0.495 0.505 0.750
Pb 0.505 0.495 0.250
Pb 0.679 0.321 0.750

Summary:
Its crystal system is orthorhombic. The total energy comes out at -37.8 eV/cell.

=====

No. 5
YScFe2Cl | GGA-PBE | relaxed

a = 4.370 Å, b = 4.370 Å, c = 4.972 Å
α = 90.00°, β = 90.00°, γ = 90.00°
Element x y z (fractional)
Y 0.000 0.000 0.000
Sc 0.500 0.500 0.000
Fe 0.000 0.500 0.500
Fe 0.500 0.000 0.500
Cl 0.000 0.000 0.500

Summary:
Its crystal system is tetragonal. Its raw formation energy is 1.7 eV per formula unit.

=====

No. 6
Pu2Ni3B | GGA-PBE | relaxed

a = 4.808 Å, b = 4.808 Å, c = 4.808 Å
α = 63.17°, β = 63.17°, γ = 63.17°
Element x y z (fractional)
Pu 0.123 0.123 0.123
Pu 0.877 0.877 0.877
Ni 0.000 0.500 0.500
Ni 0.500 0.000 0.500
Ni 0.500 0.500 0.000
B 0.500 0.500 0.500

Summary:
The formation energy is -0.098 eV per atom. Its crystal system is trigonal.

=====

No. 7
BaCd4Hg12 | GGA-PBE | relaxed

a = 8.772 Å, b = 8.772 Å, c = 8.772 Å
α = 109.47°, β = 109.47°, γ = 109.47°
Element x y z (fractional)
Ba 0.000 0.000 0.000
Cd 0.000 0.000 0.500
Cd 0.000 0.500 0.000
Cd 0.500 0.000 0.000
Cd 0.500 0.500 0.500
Hg 0.149 0.352 0.502
Hg 0.149 0.648 0.797
Hg 0.203 0.851 0.352
Hg 0.352 0.203 0.851
Hg 0.352 0.502 0.149
Hg 0.498 0.851 0.648
Hg 0.502 0.149 0.352
Hg 0.648 0.498 0.851
Hg 0.648 0.797 0.149
Hg 0.797 0.149 0.648
Hg 0.851 0.352 0.203
Hg 0.851 0.648 0.498

Summary:
The formation energy is -0.054 eV per atom. Its crystal system is cubic.

=====

No. 8
PmFeH4 | GGA-PBE | relaxed

a = 4.410 Å, b = 4.903 Å, c = 6.002 Å
α = 107.57°, β = 90.11°, γ = 116.69°
Element x y z (fractional)
Pm 0.232 0.000 0.250
Pm 0.768 0.000 0.750
Fe 0.000 0.500 0.500
Fe 0.500 0.500 0.000
H 0.187 0.454 0.176
H 0.225 0.883 0.587
H 0.267 0.456 0.679
H 0.343 0.118 0.913
H 0.657 0.882 0.087
H 0.733 0.544 0.321
H 0.775 0.117 0.413
H 0.813 0.546 0.824

Summary:
Its crystal system is triclinic. The distance to the lowest polymorph of the same formula is 0.0192 eV/atom.

=====

No. 9
NdGaCuNi2 | GGA-PBE | relaxed

a = 6.059 Å, b = 6.059 Å, c = 6.059 Å
α = 143.09°, β = 141.41°, γ = 54.47°
Element x y z (fractional)
Nd 0.000 0.000 0.000
Ga 0.256 0.756 0.500
Cu 0.620 0.620 0.000
Ni 0.394 0.394 0.000
Ni 0.765 0.265 0.500

Summary:
The formation energy is -0.313 eV per atom. Its crystal system is orthorhombic.

=====

No. 10
TaBe2Fe | GGA-PBE | relaxed

a = 3.230 Å, b = 3.749 Å, c = 3.838 Å
α = 90.00°, β = 90.00°, γ = 90.00°
Element x y z (fractional)
Ta 0.000 0.000 0.000
Be 0.000 0.500 0.500
Be 0.500 0.000 0.500
Fe 0.500 0.500 0.000

Summary:
The formation energy is 0.023 eV per atom. Its crystal system is orthorhombic. The distance to the lowest polymorph of the same formula is 0.1094 eV/atom.

=====

No. 11
PmY2Pu | GGA-PBE | relaxed

a = 11.705 Å, b = 11.705 Å, c = 11.705 Å
α = 17.54°, β = 17.54°, γ = 17.54°
Element x y z (fractional)
Pm 0.000 0.000 0.000
Y 0.248 0.248 0.248
Y 0.419 0.419 0.419
Pu 0.834 0.834 0.834

Summary:
The formation energy is 0.110 eV per atom. Its crystal system is trigonal. The distance to the lowest polymorph of the same formula is 0.0000 eV/atom.

=====

No. 12
Li2AlTl | GGA-PBE | relaxed

a = 5.375 Å, b = 5.375 Å, c = 5.375 Å
α = 139.28°, β = 130.90°, γ = 65.63°
Element x y z (fractional)
Li 0.000 0.000 0.000
Li 0.755 0.255 0.500
Al 0.508 0.508 0.000
Tl 0.250 0.750 0.500

Summary:
The formation energy is -0.087 eV per atom. Its crystal system is orthorhombic.

=====

No. 13
Fe3HgI | GGA-PBE | relaxed

a = 4.737 Å, b = 4.737 Å, c = 4.737 Å
α = 90.00°, β = 90.00°, γ = 90.00°
Element x y z (fractional)
Fe 0.000 0.000 0.500
Fe 0.000 0.500 0.000
Fe 0.500 0.000 0.000
Hg 0.500 0.500 0.500
I 0.000 0.000 0.000

Summary:
Its crystal system is cubic. Its raw formation energy is 6.7 eV per formula unit. The distance to the lowest polymorph of the same formula is 0.0000 eV/atom.

=====

No. 14
Cu4Si3 | GGA-PBE | relaxed

a = 4.801 Å, b = 4.801 Å, c = 4.801 Å
α = 90.00°, β = 90.00°, γ = 90.00°
Element x y z (fractional)
Cu 0.184 0.184 0.816
Cu 0.184 0.816 0.184
Cu 0.816 0.184 0.184
Cu 0.816 0.816 0.816
Si 0.000 0.500 0.500
Si 0.500 0.000 0.500
Si 0.500 0.500 0.000

Summary:
Its crystal system is cubic. Its raw formation energy is 2.6 eV per formula unit. The distance to the lowest polymorph of the same formula is 0.2994 eV/atom.

=====

No. 15
Li4PrGe2Au | GGA-PBE | relaxed

a = 9.228 Å, b = 9.228 Å, c = 9.228 Å
α = 28.21°, β = 28.21°, γ = 28.21°
Element x y z (fractional)
Li 0.093 0.093 0.093
Li 0.369 0.369 0.369
Li 0.631 0.631 0.631
Li 0.907 0.907 0.907
Pr 0.500 0.500 0.500
Ge 0.232 0.232 0.232
Ge 0.768 0.768 0.768
Au 0.000 0.000 0.000

Summary:
The formation energy is -0.417 eV per atom. Its crystal system is trigonal.

=====

No. 16
MgC3Br | GGA-PBE | relaxed

a = 4.283 Å, b = 4.283 Å, c = 4.283 Å
α = 90.00°, β = 90.00°, γ = 90.00°
Element x y z (fractional)
Mg 0.000 0.000 0.000
C 0.000 0.000 0.500
C 0.000 0.500 0.000
C 0.500 0.000 0.000
Br 0.500 0.500 0.500

Summary:
Its crystal system is cubic. Its raw formation energy is 16.0 eV per formula unit. The distance to the lowest polymorph of the same formula is 0.0222 eV/atom.

=====

No. 17
ZrTa2Pt | GGA-PBE | relaxed

a = 10.782 Å, b = 10.782 Å, c = 10.782 Å
α = 159.21°, β = 159.21°, γ = 29.56°
Element x y z (fractional)
Zr 0.000 0.000 0.000
Zr 0.750 0.250 0.500
Ta 0.125 0.625 0.000
Ta 0.375 0.375 0.500
Ta 0.625 0.125 0.000
Ta 0.875 0.875 0.500
Pt 0.250 0.750 0.500
Pt 0.500 0.500 0.000

Summary:
The formation energy is 0.101 eV per atom. Its crystal system is tetragonal.

=====

No. 18
Cd2Ni2Au | GGA-PBE | relaxed

a = 8.257 Å, b = 8.257 Å, c = 8.257 Å
α = 156.76°, β = 156.76°, γ = 33.10°
Element x y z (fractional)
Cd 0.114 0.114 0.000
Cd 0.886 0.886 0.000
Ni 0.250 0.750 0.500
Ni 0.750 0.250 0.500
Au 0.500 0.500 0.000

Summary:
The formation energy is 0.144 eV per atom. Its crystal system is tetragonal. The distance to the lowest polymorph of the same formula is 0.1351 eV/atom.

=====

No. 19
YSi | GGA-PBE | relaxed

a = 4.128 Å, b = 4.128 Å, c = 4.128 Å
α = 130.15°, β = 110.08°, γ = 90.68°
Element x y z (fractional)
Y 0.000 0.000 0.000
Si 0.500 0.500 0.000

Summary:
Its crystal system is orthorhombic. Its raw formation energy is -1.0 eV per formula unit.

=====

No. 20
Pu2CdPb2 | GGA-PBE | relaxed

a = 6.035 Å, b = 6.035 Å, c = 8.085 Å
α = 96.15°, β = 96.15°, γ = 98.29°
Element x y z (fractional)
Pu 0.106 0.633 0.870
Pu 0.367 0.894 0.630
Pu 0.633 0.106 0.370
Pu 0.894 0.367 0.130
Cd 0.098 0.902 0.250
Cd 0.902 0.098 0.750
Pb 0.210 0.358 0.512
Pb 0.358 0.210 0.012
Pb 0.642 0.790 0.988
Pb 0.790 0.642 0.488

Summary:
The formation energy is 0.034 eV per atom. Its crystal system is monoclinic.

=====

| no. | calculated volume (Å³/cell) |
| --- | --- |
| 1 | 95 |
| 2 | 242 |
| 3 | 61 |
| 4 | 377 |
| 5 | 95 |
| 6 | 84 |
| 7 | 520 |
| 8 | 109 |
| 9 | 83 |
| 10 | 46 |
| 11 | 127 |
| 12 | 75 |
| 13 | 106 |
| 14 | 111 |
| 15 | 155 |
| 16 | 79 |
| 17 | 158 |
| 18 | 88 |
| 19 | 48 |
| 20 | 287 |